Entry 1:
# BaZnSb2Te

A relaxed structure of BaZnSb2Te (GGA-PBE, Alexandria via LeMat-Bulk). Values from VASP.

Properties
Its space-group type is No. 123. The value obtained for the magnetization is 0.000 μB/atom. Its energy relative to the elements, uncorrected is -0.284 eV per atom. The calculation puts the energy above the most stable polymorph in this dataset at 0 meV per atom. Its electronic total energy is -16.00 eV for the cell shown.

Cell and atoms, written as Quantum ESPRESSO input:
```
&SYSTEM
  ibrav = 0, nat = 5, ntyp = 4
/
ATOMIC_SPECIES
Sb 121.76 Sb.upf
Zn 65.41 Zn.upf
Te 127.60 Te.upf
Ba 137.33 Ba.upf
CELL_PARAMETERS angstrom
-1.161 -4.432 -2.690
4.365 -2.324 1.944
-3.017 -1.925 4.473
ATOMIC_POSITIONS angstrom
Sb 2.182 -1.162 0.972
Sb -0.581 -2.216 -1.345
Zn 0.000 0.000 0.000
Te -1.509 -0.962 2.237
Ba 0.093 -4.340 1.864
```


Entry 2:
# Sc2TaSiB

A relaxed structure of Sc2TaSiB (GGA-PBE, Alexandria via LeMat-Bulk). Values from VASP.

Properties
Its space-group type is No. 123. The value obtained for the magnetization is 0.000 μB/atom. Its energy relative to the elements, uncorrected is -0.252 eV per atom. Its electronic total energy is -37.87 eV for the cell shown.

Cell and atoms, written as Quantum ESPRESSO input:
```
&SYSTEM
  ibrav = 0, nat = 5, ntyp = 4
/
ATOMIC_SPECIES
Sc 44.96 Sc.upf
Si 28.09 Si.upf
B 10.81 B.upf
Ta 180.95 Ta.upf
CELL_PARAMETERS angstrom
-0.185 -4.432 -0.597
4.078 0.040 -1.558
1.588 -0.623 4.138
ATOMIC_POSITIONS angstrom
Sc 0.794 -0.312 2.069
Sc -0.092 -2.216 -0.298
Si 2.740 -2.508 0.991
B 0.000 0.000 0.000
Ta 2.039 0.020 -0.779
```


Entry 3:
# Cd2SiHg

A relaxed structure of Cd2SiHg (GGA-PBE, Alexandria via LeMat-Bulk). Values from VASP.

Properties
Its space-group type is No. 10. The value obtained for the magnetization is 0.000 μB/atom. Its energy relative to the elements, uncorrected is 0.253 eV per atom. The calculation puts the energy above the most stable polymorph in this dataset at 7 meV per atom. Its electronic total energy is -6.54 eV for the cell shown.

Cell and atoms, written as Quantum ESPRESSO input:
```
&SYSTEM
  ibrav = 0, nat = 4, ntyp = 3
/
ATOMIC_SPECIES
Cd 112.41 Cd.upf
Hg 200.59 Hg.upf
Si 28.09 Si.upf
CELL_PARAMETERS angstrom
-3.670 -0.871 -0.947
0.866 -2.660 -0.910
-0.382 -5.186 6.252
ATOMIC_POSITIONS angstrom
Cd -0.339 -5.132 6.036
Cd 0.199 -3.978 2.888
Hg -1.714 -2.397 0.862
Si -1.472 -6.321 3.533
```


Entry 4:
# Ti8TlC2

A relaxed structure of Ti8TlC2 (GGA-PBE, Alexandria via LeMat-Bulk). Values from VASP.

Properties
Its space-group type is No. 71. The value obtained for the magnetization is 0.000 μB/atom. Its formation energy is -0.046 eV per atom. Its electronic total energy is -84.47 eV for the cell shown.

Cell and atoms, written as Quantum ESPRESSO input:
```
&SYSTEM
  ibrav = 0, nat = 11, ntyp = 3
/
ATOMIC_SPECIES
Ti 47.87 Ti.upf
Tl 204.38 Tl.upf
C 12.01 C.upf
CELL_PARAMETERS angstrom
-4.378 1.388 -0.837
-2.451 -3.680 -6.288
-4.044 -6.187 -2.112
ATOMIC_POSITIONS angstrom
Ti -6.073 -6.062 -4.313
Ti -5.631 -3.726 -2.743
Ti -6.010 -7.296 -6.671
Ti -4.863 -1.183 -2.565
Ti -5.241 -4.753 -6.494
Ti -4.800 -2.418 -4.923
Ti -7.865 -4.816 -5.890
Ti -3.007 -3.663 -3.346
Tl 0.000 0.000 0.000
C -8.187 -6.536 -7.046
C -2.685 -1.943 -2.190
```


What did the third record say?
# Cd2SiHg

A relaxed structure of Cd2SiHg (GGA-PBE, Alexandria via LeMat-Bulk). Values from VASP.

Properties
Its space-group type is No. 10. The value obtained for the magnetization is 0.000 μB/atom. Its energy relative to the elements, uncorrected is 0.253 eV per atom. The calculation puts the energy above the most stable polymorph in this dataset at 7 meV per atom. Its electronic total energy is -6.54 eV for the cell shown.

Cell and atoms, written as Quantum ESPRESSO input:
```
&SYSTEM
  ibrav = 0, nat = 4, ntyp = 3
/
ATOMIC_SPECIES
Cd 112.41 Cd.upf
Hg 200.59 Hg.upf
Si 28.09 Si.upf
CELL_PARAMETERS angstrom
-3.670 -0.871 -0.947
0.866 -2.660 -0.910
-0.382 -5.186 6.252
ATOMIC_POSITIONS angstrom
Cd -0.339 -5.132 6.036
Cd 0.199 -3.978 2.888
Hg -1.714 -2.397 0.862
Si -1.472 -6.321 3.533
```


- Look up the magnetization of the third one.
  0.000 μB/atom


- electronic total energy of number 2 (Sc2TaSiB)?
  -37.87 eV for the cell shown


- What is the magnetization in the third record?
  0.000 μB/atom